# Mn13Fe3O32

A relaxed structure of Mn13Fe3O32 (PBE+U, the Alexandria database).

Lattice parameters (Å, degrees): 8.2411 8.2411 10.0621 113.95 113.95 90.13
Last column: nearest neighbours and their distance in Å.
Sites, in units of the cell vectors:
Mn: 0.0000 0.0000 0.0000  6 O 1.95
Mn: 0.0000 0.5000 0.5000  6 O 1.94-1.95
Mn: 0.1245 0.8744 0.2503  6 O 1.94-1.95
Mn: 0.1256 0.8755 0.7497  6 O 1.94-1.95
Mn: 0.2505 0.2505 0.9996  6 O 1.94-1.95
Mn: 0.3741 0.6247 0.2495  6 O 1.93-1.95
Mn: 0.3753 0.6259 0.7505  6 O 1.93-1.95
Mn: 0.5000 0.0000 0.5000  6 O 1.94-1.95
Mn: 0.6247 0.3741 0.2495  6 O 1.93-1.95
Mn: 0.6259 0.3753 0.7505  6 O 1.93-1.95
Mn: 0.7495 0.7495 0.0004  6 O 1.94-1.95
Mn: 0.8744 0.1245 0.2503  6 O 1.94-1.95
Mn: 0.8755 0.1256 0.7497  6 O 1.94-1.95
Fe: 0.2504 0.7496 0.5000  6 O 1.93-1.95
Fe: 0.5000 0.5000 0.0000  6 O 1.92-1.95
Fe: 0.7496 0.2504 0.5000  6 O 1.93-1.95
O: 0.0075 0.2276 0.9848  3 Mn 1.94-1.95
O: 0.0236 0.7420 0.5142  1 Fe 1.93, 2 Mn 1.94-1.95
O: 0.1023 0.1023 0.2355  3 Mn 1.95
O: 0.1179 0.1179 0.7642  3 Mn 1.95
O: 0.1325 0.6329 0.7354  3 Mn 1.95
O: 0.1477 0.6472 0.2645  2 Mn 1.93-1.94, 1 Fe 1.95
O: 0.2276 0.0075 0.9848  3 Mn 1.94-1.95
O: 0.2423 0.5231 0.5148  1 Fe 1.94, 2 Mn 1.94-1.95
O: 0.2580 0.9764 0.4858  1 Fe 1.93, 2 Mn 1.94-1.95
O: 0.2723 0.4925 0.0151  2 Mn 1.94, 1 Fe 1.95
O: 0.3528 0.8523 0.7355  2 Mn 1.93-1.94, 1 Fe 1.95
O: 0.3671 0.8675 0.2646  3 Mn 1.95
O: 0.3823 0.3823 0.2352  3 Mn 1.95
O: 0.3984 0.3984 0.7673  1 Fe 1.92, 2 Mn 1.95
O: 0.4769 0.7577 0.4852  1 Fe 1.94, 2 Mn 1.94-1.95
O: 0.4925 0.2723 0.0151  2 Mn 1.94, 1 Fe 1.95
O: 0.5075 0.7277 0.9849  2 Mn 1.94, 1 Fe 1.95
O: 0.5231 0.2423 0.5148  1 Fe 1.94, 2 Mn 1.94-1.95
O: 0.6016 0.6016 0.2327  1 Fe 1.92, 2 Mn 1.95
O: 0.6177 0.6177 0.7648  3 Mn 1.95
O: 0.6329 0.1325 0.7354  3 Mn 1.95
O: 0.6472 0.1477 0.2645  2 Mn 1.93-1.94, 1 Fe 1.95
O: 0.7277 0.5075 0.9849  2 Mn 1.94, 1 Fe 1.95
O: 0.7420 0.0236 0.5142  1 Fe 1.93, 2 Mn 1.94-1.95
O: 0.7577 0.4769 0.4852  1 Fe 1.94, 2 Mn 1.94-1.95
O: 0.7724 0.9925 0.0152  3 Mn 1.94-1.95
O: 0.8523 0.3528 0.7355  2 Mn 1.93-1.94, 1 Fe 1.95
O: 0.8675 0.3671 0.2646  3 Mn 1.95
O: 0.8821 0.8821 0.2358  3 Mn 1.95
O: 0.8977 0.8977 0.7645  3 Mn 1.95
O: 0.9764 0.2580 0.4858  1 Fe 1.93, 2 Mn 1.94-1.95
O: 0.9925 0.7724 0.0152  3 Mn 1.94-1.95

Results
magnetization = 45.0 μB/f.u.
mass density = 4.14 g/cm³
DFT total energy = -6.879 eV per atom
V = 11.65 Å³/atom